The following is a DFT calculation (PBE-GGA) of a geometry-optimized Tl3PbI6 structure.

The energy above the lowest structure with this stoichiometry comes out at 11 meV per atom. The value obtained for the density of states at the Fermi level is 13.1 states/eV/cell. The raw formation energy comes out at -529 meV/atom.

Geometry as extended XYZ:
```
20
Lattice="-6.864 -3.940 -5.623 -3.342 -4.394 7.987 -5.248 8.005 1.625" Properties=species:S:1:pos:R:3 pbc="T T T"
I -6.909 1.136 8.752
I -8.544 -1.465 -4.763
I -9.821 -2.251 0.778
I -9.801 5.001 -2.134
I -6.456 6.355 3.971
I -5.633 1.922 3.211
I -6.682 0.320 -0.988
I -8.997 -6.684 0.017
I -8.771 -0.649 4.977
I -5.652 -5.330 6.123
I -5.736 -2.626 2.436
I -9.718 2.297 1.552
Pb -7.727 -0.164 1.994
Pb 0.000 0.000 0.000
Tl -5.181 -0.862 5.475
Tl -10.273 0.533 -1.487
Tl -8.660 2.907 4.957
Tl -8.838 -4.031 3.697
Tl -6.794 -3.236 -0.969
Tl -6.616 3.702 0.291
```

=====

The following is a DFT calculation (PBE-GGA) of a geometry-optimized Zr2TiZn6 structure.

The value obtained for the density of states at the Fermi level is 7.2 states/eV/cell. Its total DFT energy (no corrections) is -34.75 eV/cell.

Geometry as extended XYZ:
```
9
Lattice="-2.557 1.532 0.816 -3.099 -6.422 2.349 4.026 4.185 4.757" Properties=species:S:1:pos:R:3 pbc="T T T"
Zr 1.651 0.649 3.954
Zr -3.281 -1.354 3.968
Zn 0.045 2.142 1.972
Zn 1.425 3.575 3.602
Zn -2.297 -1.345 1.180
Zn -3.359 -3.545 1.985
Zn -0.656 -0.736 5.178
Zn -0.974 0.031 2.744
Ti 4.026 4.185 4.757
```

=====

Repeat the first record exactly.
The following is a DFT calculation (PBE-GGA) of a geometry-optimized Tl3PbI6 structure.

The energy above the lowest structure with this stoichiometry comes out at 11 meV per atom. The value obtained for the density of states at the Fermi level is 13.1 states/eV/cell. The raw formation energy comes out at -529 meV/atom.

Geometry as extended XYZ:
```
20
Lattice="-6.864 -3.940 -5.623 -3.342 -4.394 7.987 -5.248 8.005 1.625" Properties=species:S:1:pos:R:3 pbc="T T T"
I -6.909 1.136 8.752
I -8.544 -1.465 -4.763
I -9.821 -2.251 0.778
I -9.801 5.001 -2.134
I -6.456 6.355 3.971
I -5.633 1.922 3.211
I -6.682 0.320 -0.988
I -8.997 -6.684 0.017
I -8.771 -0.649 4.977
I -5.652 -5.330 6.123
I -5.736 -2.626 2.436
I -9.718 2.297 1.552
Pb -7.727 -0.164 1.994
Pb 0.000 0.000 0.000
Tl -5.181 -0.862 5.475
Tl -10.273 0.533 -1.487
Tl -8.660 2.907 4.957
Tl -8.838 -4.031 3.697
Tl -6.794 -3.236 -0.969
Tl -6.616 3.702 0.291
```